A.
This record from Alexandria via LeMat-Bulk describes GaSiHAuS after structural relaxation. The functional is PBE.

Structure (CIF):
```
data_GaSiHAuS
_chemical_formula_sum 'Ga1 Si1 H1 Au1 S1'
_cell_length_a 3.312
_cell_length_b 4.288
_cell_length_c 7.088
_cell_angle_alpha 88.19
_cell_angle_beta 89.92
_cell_angle_gamma 67.49
_symmetry_space_group_name_H-M 'P 1'
_symmetry_Int_Tables_number 1
_symmetry_space_group_name_Hall 'P 1'
loop_
_atom_site_label
_atom_site_fract_x
_atom_site_fract_y
_atom_site_fract_z
Ga1 0.000 0.000 0.000
Si1 0.586 0.824 0.479
H1 0.400 0.201 0.458
Au1 0.716 0.561 0.174
S1 0.141 0.712 0.679
```



B.
This record from Alexandria via LeMat-Bulk describes GaSiHAuS after structural relaxation. The functional is PBE.

Structure (CIF):
```
data_GaSiHAuS
_chemical_formula_sum 'Ga1 Si1 H1 Au1 S1'
_cell_length_a 3.347
_cell_length_b 5.358
_cell_length_c 5.529
_cell_angle_alpha 115.25
_cell_angle_beta 91.08
_cell_angle_gamma 107.83
_symmetry_space_group_name_H-M 'P 1'
_symmetry_Int_Tables_number 1
_symmetry_space_group_name_Hall 'P 1'
loop_
_atom_site_label
_atom_site_fract_x
_atom_site_fract_y
_atom_site_fract_z
Ga1 0.000 0.000 0.000
Si1 0.814 0.612 0.401
H1 0.360 0.703 0.489
Au1 0.719 0.427 0.917
S1 0.603 0.189 0.407
```



Name the least stable of them. B.



A.
This record from Alexandria via LeMat-Bulk describes GaSiHAuS after structural relaxation. The functional is PBE.

Structure (CIF):
```
data_GaSiHAuS
_chemical_formula_sum 'Ga2 Si2 H2 Au2 S2'
_cell_length_a 8.652
_cell_length_b 3.225
_cell_length_c 6.645
_cell_angle_alpha 90.00
_cell_angle_beta 99.88
_cell_angle_gamma 90.00
_symmetry_space_group_name_H-M 'C 1 m 1'
_symmetry_Int_Tables_number 8
_symmetry_space_group_name_Hall 'C -2y'
loop_
_atom_site_label
_atom_site_fract_x
_atom_site_fract_y
_atom_site_fract_z
Ga1 0.000 0.000 0.000
Si1 0.382 0.000 0.421
H1 0.055 0.500 0.411
Au1 0.234 0.500 0.151
S1 0.354 0.500 0.647
```



B.
This record from Alexandria via LeMat-Bulk describes GaSiHAuS after structural relaxation. The functional is PBE.

Structure (CIF):
```
data_GaSiHAuS
_chemical_formula_sum 'Ga1 Si1 H1 Au1 S1'
_cell_length_a 4.305
_cell_length_b 4.478
_cell_length_c 5.242
_cell_angle_alpha 67.79
_cell_angle_beta 73.89
_cell_angle_gamma 87.10
_symmetry_space_group_name_H-M 'P 1'
_symmetry_Int_Tables_number 1
_symmetry_space_group_name_Hall 'P 1'
loop_
_atom_site_label
_atom_site_fract_x
_atom_site_fract_y
_atom_site_fract_z
Ga1 0.000 0.000 0.000
Si1 0.263 0.299 0.219
H1 0.515 0.068 0.316
Au1 0.920 0.495 0.546
S1 0.556 0.716 0.875
```



C.
This record from Alexandria via LeMat-Bulk describes GaSiHAuS after structural relaxation. The functional is PBE.

Structure (CIF):
```
data_GaSiHAuS
_chemical_formula_sum 'Ga2 Si2 H2 Au2 S2'
_cell_length_a 10.879
_cell_length_b 3.742
_cell_length_c 5.474
_cell_angle_alpha 90.00
_cell_angle_beta 116.88
_cell_angle_gamma 90.00
_symmetry_space_group_name_H-M 'C 1 m 1'
_symmetry_Int_Tables_number 8
_symmetry_space_group_name_Hall 'C -2y'
loop_
_atom_site_label
_atom_site_fract_x
_atom_site_fract_y
_atom_site_fract_z
Ga1 0.000 0.000 0.000
Si1 0.403 0.000 0.463
H1 0.275 0.000 0.194
Au1 0.054 0.000 0.537
S1 0.317 0.000 0.752
```



Name the least stable of them. B.